! Tb2DyIn3CuAg2 PBE-GGA optimized geometry; values from VASP
&SYSTEM
  ibrav = 0, nat = 9, ntyp = 5
/
ATOMIC_SPECIES
Tb 158.93 Tb.upf
Cu 63.55 Cu.upf
In 114.82 In.upf
Ag 107.87 Ag.upf
Dy 162.50 Dy.upf
CELL_PARAMETERS angstrom
3.895 0.000 0.000
0.000 6.767 3.910
0.000 -6.767 3.910
ATOMIC_POSITIONS crystal
Tb 0.000 0.000 0.598
Tb 0.000 0.598 0.000
Cu 0.000 0.000 0.000
In 0.500 0.000 0.251
In 0.500 0.749 0.749
In 0.500 0.251 0.000
Ag 0.500 0.334 0.666
Ag 0.500 0.666 0.334
Dy 0.000 0.402 0.402
! * M_tot: 0.0 μB per formula unit
! * energy: -0.1444 hartree per atom
! * symmetry: Amm2